[1]
Tl2TeCl5: relaxed, PBE.

The excess energy over the best structure of this formula in the dataset comes out at 0.0000 eV per atom. Its raw formation energy is -760 meV/atom.

It has space group P1 (No. 1), with a = 5.840 Å, b = 7.913 Å, c = 7.919 Å, α = 90.72°, β = 108.84° and γ = 108.74°. Symmetry generates all atoms from Tl at (0.000, 0.000, 0.000), Tl at (0.001, 0.549, 0.451), Te at (0.339, 0.590, 0.041), Cl at (0.109, 0.323, 0.774), Cl at (0.344, 0.832, 0.821), Cl at (0.345, 0.370, 0.283), Cl at (0.563, 0.846, 0.297) and Cl at (0.836, 0.586, 0.037).



[2]
TlTe2Cl8: relaxed, PBE.

Its raw formation energy is -540 meV/atom.

It has space group P-3 (No. 147), with a = 9.3060 Å, b = 9.3060 Å, c = 5.4746 Å, α = 90.00°, β = 90.00° and γ = 120.00°. Symmetry generates all atoms from Tl at (0.0000, 0.0000, 0.0000), Te at (0.3333, 0.6667, 0.7417), Cl at (0.1786, 0.3592, 0.7343) and Cl at (0.3333, 0.6667, 0.2402).



[3]
Tl2TeCl5: relaxed, PBE.

The excess energy over the best structure of this formula in the dataset comes out at 0.0542 eV per atom. Its raw formation energy is -705 meV/atom.

It has space group Cm (No. 8), with a = 12.503 Å, b = 7.495 Å, c = 7.900 Å, α = 90.00°, β = 128.26° and γ = 90.00°. Symmetry generates all atoms from Tl at (0.000, 0.000, 0.000), Tl at (0.026, 0.500, 0.617), Te at (0.217, 0.500, 0.318), Cl at (0.007, 0.000, 0.633), Cl at (0.211, 0.262, 0.543) and Cl at (0.232, 0.260, 0.099).